A plane-wave DFT calculation with PBE-GGA was carried out for a relaxed structure of PmCrH4.

Structure (CIF):
```
data_PmCrH4
_symmetry_space_group_name_H-M 'C m c 21'
_symmetry_Int_Tables_number 36
_cell_length_a 3.8545
_cell_length_b 12.0066
_cell_length_c 4.8344
_cell_angle_alpha 90.00
_cell_angle_beta 90.00
_cell_angle_gamma 90.00
loop_
_symmetry_equiv_pos_as_xyz
'x,y,z'
'-x,-y,z+1/2'
'-x,y,z'
'x,-y,z+1/2'
'x+1/2,y+1/2,z'
'-x+1/2,-y+1/2,z+1/2'
'-x+1/2,y+1/2,z'
'x+1/2,-y+1/2,z+1/2'
loop_
_atom_site_label
_atom_site_type_symbol
_atom_site_fract_x
_atom_site_fract_y
_atom_site_fract_z
Pm1 Pm 0.0000 0.1357 0.0000
Cr1 Cr 0.0000 0.4174 0.0045
H1 H 0.0000 0.0813 0.5008
H2 H 0.0000 0.3055 0.2256
H3 H 0.0000 0.3167 0.7538
H4 H 0.0000 0.4565 0.3473
```

Raw total energy = -29.7 eV per formula unit
Crystal system = orthorhombic

A plane-wave DFT calculation with PBE-GGA was carried out for a relaxed structure of GdInN2.

Structure (CIF):
```
data_GdInN2
_symmetry_space_group_name_H-M 'R -3 m'
_symmetry_Int_Tables_number 166
_symmetry_space_group_name_Hall '-R 3 2"'
_cell_length_a 3.4840
_cell_length_b 3.4840
_cell_length_c 16.2684
_cell_angle_alpha 90.00
_cell_angle_beta 90.00
_cell_angle_gamma 120.00
loop_
_atom_site_label
_atom_site_type_symbol
_atom_site_fract_x
_atom_site_fract_y
_atom_site_fract_z
Gd1 Gd 0.0000 0.0000 0.0000
In1 In 0.0000 0.0000 0.5000
N1 N 0.0000 0.0000 0.2488
```

Raw total energy = -36.1 eV per formula unit
Energy relative to the elements, uncorrected = -0.6537 eV per atom
Crystal system = trigonal

A plane-wave DFT calculation with PBE-GGA was carried out for a relaxed structure of KZrCr2.

Structure (CIF):
```
data_KZrCr2
_symmetry_space_group_name_H-M 'P 4/m m m'
_symmetry_Int_Tables_number 123
_symmetry_space_group_name_Hall '-P 4 2'
_cell_length_a 5.4072
_cell_length_b 5.4072
_cell_length_c 3.1516
_cell_angle_alpha 90.00
_cell_angle_beta 90.00
_cell_angle_gamma 90.00
loop_
_atom_site_label
_atom_site_type_symbol
_atom_site_fract_x
_atom_site_fract_y
_atom_site_fract_z
K1 K 0.0000 0.0000 0.0000
Zr1 Zr 0.5000 0.5000 0.0000
Cr1 Cr 0.0000 0.5000 0.5000
```

Raw total energy = -24.3 eV per formula unit
Crystal system = tetragonal
ΔH_f (0 K) = 1.136 eV per atom

A plane-wave DFT calculation with PBE-GGA was carried out for a relaxed structure of CdIn2Pd4Au2.

Structure (CIF):
```
data_CdIn2Pd4Au2
_symmetry_space_group_name_H-M 'I 4/m m m'
_symmetry_Int_Tables_number 139
_symmetry_space_group_name_Hall '-I 4 2'
_cell_length_a 6.3366
_cell_length_b 6.3366
_cell_length_c 9.0122
_cell_angle_alpha 90.00
_cell_angle_beta 90.00
_cell_angle_gamma 90.00
loop_
_atom_site_label
_atom_site_type_symbol
_atom_site_fract_x
_atom_site_fract_y
_atom_site_fract_z
Cd1 Cd 0.0000 0.0000 0.0000
In1 In 0.0000 0.5000 0.2500
Pd1 Pd 0.2171 0.2171 0.5000
Au1 Au 0.0000 0.0000 0.2854
```

Raw total energy = -33.7 eV per formula unit
Crystal system = tetragonal
ΔH_f (0 K) = -0.001 eV per atom

- What is the formula in the second record?
  GdInN2